(i)
## RbCSeBr2 (GGA-PBE)

Data for crystalline RbCSeBr2 at its relaxed geometry.

The structure in POSCAR format:
```
RbCSeBr2
1.0
-5.780 -2.961 0.918
1.455 -0.875 6.336
-2.924 6.182 1.525
C Rb Br Se
1 1 2 1
Cartesian
-3.625 1.173 4.390
0.000 0.000 0.000
-2.890 -1.480 0.459
0.727 -0.437 3.168
-1.462 3.091 0.762
```

Results
Space-group type ... P4/mmm
Spin magnetization ... 0.206 μB/atom

(ii)
## RbCSeBr2 (GGA-PBE)

Data for crystalline RbCSeBr2 at its relaxed geometry.

The structure in POSCAR format:
```
RbCSeBr2
1.0
-2.632 3.023 -4.361
-1.300 -5.087 -2.742
-3.398 -0.172 1.931
Br C Se Rb
2 1 1 1
Cartesian
-0.650 -2.543 -1.371
-1.316 1.512 -2.181
0.000 0.000 0.000
-1.699 -0.086 0.965
-3.665 -1.118 -2.586
```

Results
Space-group type ... P4/mmm
Spin magnetization ... 0.000 μB/atom

Stability, descending: (ii), (i)